Crystalline CdSbO at its relaxed geometry. Source: the Alexandria database, functional PBE-GGA.

As for the size of the total moment: 0.00 μB per formula unit. The space group is No. 1. For the energy above the most stable polymorph in this dataset, the calculation gives 0.089 eV per atom. The calculation puts the final energy at -3.886 eV/atom.

Lattice parameters (Å, degrees): 5.3480 5.3582 5.5639 91.86 106.53 95.41
Element x y z (fractional)
Cd  0.3817  0.6378  0.4269
Cd  0.9236  0.9908  0.9416
Sb  0.5687  0.2465  0.1371
Sb  0.9786  0.3776  0.5961
O  0.3178  0.9824  0.2275
O  0.7794  0.6328  0.7191


Crystalline RuW2C at its relaxed geometry. Source: the Alexandria database, functional PBE-GGA.

As for the size of the total moment: 0.00 μB per formula unit. The space group is No. 166. For the energy above the most stable polymorph in this dataset, the calculation gives 0.540 eV per atom. The value obtained for the density of states at the Fermi level is 3.106 states/eV/f.u. Its formation energy is 2.455 eV per formula unit. The calculation puts the final energy at -10.488 eV/atom.

Lattice parameters (Å, degrees): 2.8863 2.8863 7.8293 79.38 79.38 60.00
Element x y z (fractional)
Ru  0.0000  0.0000  0.0000
C  0.5000  0.5000  0.5000
W  0.1076  0.1076  0.6773
W  0.8924  0.8924  0.3227


Crystalline BeSn at its relaxed geometry. Source: the Alexandria database, functional PBE-GGA.

As for the size of the total moment: 0.00 μB per formula unit. The space group is No. 12. For the energy above the most stable polymorph in this dataset, the calculation gives 0.000 eV per atom. The value obtained for the density of states at the Fermi level is 0.510 states/eV/f.u. Its formation energy is 0.449 eV per formula unit. The calculation puts the final energy at -3.640 eV/atom.

Lattice parameters (Å, degrees): 6.4409 3.7807 6.6085 90.00 108.64 90.00
Element x y z (fractional)
Be  0.4963  0.0000  0.1660
Be  0.5037  0.0000  0.8340
Be  0.4963  0.5000  0.6660
Be  0.5037  0.5000  0.3340
Sn  0.7652  0.0000  0.5810
Sn  0.2348  0.0000  0.4190
Sn  0.7652  0.5000  0.0810
Sn  0.2348  0.5000  0.9190